w) Entry from the Alexandria database: crystalline FePt2C2 at its relaxed geometry (PBE).

- SG: No. 123

abc: 5.5634 5.5634 3.9963
angles: 90.00 90.00 90.00
Fractional positions:
Fe: 0.5000 0.5000 0.0000
Fe: 0.0000 0.0000 0.0000
C: 0.2499 0.7499 0.0000
C: 0.7501 0.2501 0.0000
C: 0.2501 0.2499 0.0000
C: 0.7499 0.7501 0.0000
Pt: 0.2501 0.2499 0.5000
Pt: 0.2499 0.7499 0.5000
Pt: 0.7499 0.7501 0.5000
Pt: 0.7501 0.2501 0.5000

x) Entry from the Alexandria database: crystalline FePt2C2 at its relaxed geometry (PBE).

- SG: No. 139

abc: 4.5960 4.5960 4.2272
angles: 57.07 57.07 90.00
Last column: magnetic moment on the atom in μB.
Fractional positions:
C: 0.3689 0.3689 0.2621  0.01
C: 0.6311 0.6311 0.7379  0.01
Pt: 0.7500 0.2500 0.5000  0.25
Pt: 0.2500 0.7500 0.5000  0.25
Fe: 0.0000 0.0000 0.0000  2.68

Winner for stability: w)